[1]
## Dy4ScPd15 (PBE)

Data for Dy4ScPd15 after structural relaxation.

Its crystal system is tetragonal. As for the calculated formation energy: -84.2 kJ/mol of atoms.

It has space group P4/mmm (No. 123), with a = 4.095 Å, b = 4.095 Å, c = 20.550 Å, α = 90.00°, β = 90.00° and γ = 90.00°. Symmetry generates all atoms from Dy at (0.000, 0.000, 0.101), Dy at (0.000, 0.000, 0.304), Sc at (0.000, 0.000, 0.500), Pd at (0.000, 0.500, 0.000), Pd at (0.000, 0.500, 0.203), Pd at (0.000, 0.500, 0.405), Pd at (0.500, 0.500, 0.101), Pd at (0.500, 0.500, 0.304) and Pd at (0.500, 0.500, 0.500).


[2]
## MnAgRhCl6 (PBE)

Data for MnAgRhCl6 after structural relaxation.

Its crystal system is trigonal.

It has space group P-31c (No. 163), with a = 6.3182 Å, b = 6.3182 Å, c = 11.9340 Å, α = 90.00°, β = 90.00° and γ = 120.00°. Symmetry generates all atoms from Mn at (0.3333, 0.6667, 0.2500), Ag at (0.0000, 0.0000, 0.0000), Rh at (0.3333, 0.6667, 0.7500) and Cl at (0.0185, 0.3670, 0.6354).


[3]
## K2SrCoCl6 (PBE)

Data for K2SrCoCl6 after structural relaxation.

Its crystal system is cubic.

It has space group Fm-3m (No. 225), with a = 10.520 Å, b = 10.520 Å, c = 10.520 Å, α = 90.00°, β = 90.00° and γ = 90.00°. Symmetry generates all atoms from K at (0.250, 0.250, 0.250), Sr at (0.000, 0.000, 0.000), Co at (0.000, 0.000, 0.500) and Cl at (0.000, 0.000, 0.269).


[4]
## ErPuInCl6 (PBE)

Data for ErPuInCl6 after structural relaxation.

Its crystal system is trigonal.

It has space group P-31c (No. 163), with a = 7.1448 Å, b = 7.1448 Å, c = 13.8362 Å, α = 90.00°, β = 90.00° and γ = 120.00°. Symmetry generates all atoms from Er at (0.3333, 0.6667, 0.2500), Pu at (0.3333, 0.6667, 0.7500), In at (0.0000, 0.0000, 0.0000) and Cl at (0.0207, 0.3769, 0.1396).


[5]
## CeMg2ReN4 (PBE)

Data for CeMg2ReN4 after structural relaxation.

Its crystal system is orthorhombic.

It has space group Cmcm (No. 63), with a = 3.278 Å, b = 11.700 Å, c = 10.985 Å, α = 90.00°, β = 90.00° and γ = 90.00°. Symmetry generates all atoms from Ce at (0.000, 0.076, 0.250), Mg at (0.000, 0.386, 0.030), Re at (0.000, 0.182, 0.750), N at (0.000, 0.000, 0.000), N at (0.000, 0.276, 0.618) and N at (0.000, 0.420, 0.250).


[6]
## TiAl3Te (PBE)

Data for TiAl3Te after structural relaxation.

Its crystal system is cubic.

It has space group Pm-3m (No. 221), with a = 5.103 Å, b = 5.103 Å, c = 5.103 Å, α = 90.00°, β = 90.00° and γ = 90.00°. Symmetry generates all atoms from Ti at (0.000, 0.000, 0.000), Al at (0.000, 0.000, 0.500) and Te at (0.500, 0.500, 0.500).


Number 1: calculated total energy -120.1 eV/f.u.. Number 2: calculated total energy -36.9 eV/f.u.. Number 3: calculated total energy -38.3 eV/f.u.. Number 4: calculated total energy -48.8 eV/f.u.. Number 5: calculated total energy -59.5 eV/f.u.. Number 6: calculated total energy -18.4 eV/f.u..